[1]
HgIr2Os | PBE-GGA | optimized geometry

Output
The value obtained for the formation energy is 0.63 eV per atom.

a b c (Å): 4.8856 4.8856 4.8856
angles (deg): 132.02 132.02 70.19
Closest atoms and distances in Å follow each position.
Element x y z (fractional)
Os: 0.5000 0.5000 0.0000  8 Ir 2.81-2.82, 4 Hg 2.82
Ir: 0.2500 0.7500 0.5000  4 Hg 2.81, 4 Ir 2.82, 4 Os 2.82
Hg: 0.7500 0.2500 0.5000  8 Ir 2.81-2.82, 4 Os 2.82
Ir: 0.0000 0.0000 0.0000  4 Os 2.81, 4 Hg 2.82, 4 Ir 2.82

***

[2]
Sr2YCr | PBE-GGA | optimized geometry

Output
The value obtained for the excess energy over the best structure of this formula in the dataset is 292.9 meV/atom. The value obtained for the formation energy is 0.64 eV per atom.

a b c (Å): 11.8543 11.8543 11.8543
angles (deg): 18.76 18.76 18.76
Closest atoms and distances in Å follow each position.
Element x y z (fractional)
Cr: 0.7500 0.7500 0.7500  6 Sr 3.44
Sr: 0.0085 0.0085 0.0085  3 Cr 3.44
Sr: 0.4915 0.4915 0.4915  3 Cr 3.44
Y: 0.2500 0.2500 0.2500  6 Y 3.87, 6 Sr 3.91